# 1
CuNiAg2: PBEsol geometry, meta-GGA SCAN.

Computed properties:
ρ (g/cm³): 10.246
Total moment (μB/cell): 0.00
Calculated formation energy (meV/atom): 240
E_tot (eV per atom): -23.29
Symmetry: I-4m2, No. 119
Volume (Å³/cell): 54.8

Cell: 4.651 4.651 4.651 Å, 131.80 131.80 70.55°
Positions (direct):
Cu 0.000 0.000 0.000
Ni 0.750 0.250 0.500
Ag 0.250 0.750 0.500
Ag 0.500 0.500 0.000



# 2
BeSbWCl2: PBEsol geometry, meta-GGA SCAN.

Computed properties:
ρ (g/cm³): 5.446
Total moment (μB/cell): 3.00
E_tot (eV per atom): -25.00
Raw formation energy (meV/atom): 449
Symmetry: P4/mmm, No. 123
Volume (Å³/cell): 117.5

Cell: 4.049 4.049 7.171 Å, 90.00 90.00 90.00°
Positions (direct):
Be 0.000 0.000 0.000
Sb 0.000 0.000 0.500
W 0.500 0.500 0.500
Cl 0.000 0.500 0.000
Cl 0.500 0.000 0.000



# 3
GePdSe2O: PBEsol geometry, meta-GGA SCAN.

Computed properties:
ρ (g/cm³): 6.998
Total moment (μB/cell): 0.00
E_tot (eV per atom): -19.29
Raw formation energy (meV/atom): 359
Symmetry: P4/mmm, No. 123
Volume (Å³/cell): 83.8

Cell: 4.412 4.412 4.303 Å, 90.00 90.00 90.00°
Positions (direct):
Ge 0.000 0.000 0.000
Pd 0.500 0.500 0.000
Se 0.000 0.500 0.500
Se 0.500 0.000 0.500
O 0.000 0.000 0.500



# 4
Cr7Se8: PBEsol geometry, meta-GGA SCAN.

Computed properties:
ρ (g/cm³): 6.296
Total moment (μB/cell): 24.88
E_tot (eV per atom): -20.02
Raw formation energy (meV/atom): -729
Symmetry: C2/m, No. 12
Volume (Å³/cell): 262.6

Cell: 6.780 6.780 8.448 Å, 124.21 124.21 65.23°
Positions (direct):
Cr 0.000 0.000 0.000
Cr 0.000 0.500 0.500
Cr 0.264 0.264 0.010
Cr 0.272 0.728 0.500
Cr 0.500 0.000 0.500
Cr 0.728 0.272 0.500
Cr 0.736 0.736 0.990
Se 0.035 0.544 0.832
Se 0.036 0.036 0.333
Se 0.451 0.451 0.670
Se 0.456 0.965 0.168
Se 0.544 0.035 0.832
Se 0.549 0.549 0.330
Se 0.964 0.964 0.667
Se 0.965 0.456 0.168



# 5
Al2AsP: PBEsol geometry, meta-GGA SCAN.

Computed properties:
ρ (g/cm³): 4.151
Total moment (μB/cell): 0.00
Calculated formation energy (meV/atom): 139
E_tot (eV per atom): -11.38
Symmetry: Cmmm, No. 65
Volume (Å³/cell): 63.9

Cell: 4.398 4.398 3.343 Å, 90.00 90.00 98.55°
Positions (direct):
Al 0.000 0.500 0.000
Al 0.500 0.000 0.000
As 0.000 0.000 0.500
P 0.500 0.500 0.500



# 6
BaBr2: PBEsol geometry, meta-GGA SCAN.

Computed properties:
ρ (g/cm³): 5.312
Total moment (μB/cell): 0.00
E_tot (eV per atom): -28.45
Raw formation energy (meV/atom): -2293
Symmetry: I4/mmm, No. 139
Volume (Å³/cell): 92.9

Cell: 5.973 5.973 5.973 Å, 138.42 138.42 60.26°
Positions (direct):
Ba 0.000 0.000 0.000
Br 0.342 0.342 0.000
Br 0.658 0.658 0.000



# 7
In2NiP: PBEsol geometry, meta-GGA SCAN.

Computed properties:
ρ (g/cm³): 7.357
Total moment (μB/cell): 0.00
Calculated formation energy (meV/atom): 528
E_tot (eV per atom): -22.81
Symmetry: F-43m, No. 216
Volume (Å³/cell): 72.1

Cell: 4.671 4.671 4.671 Å, 60.00 60.00 60.00°
Positions (direct):
In 0.000 0.000 0.000
In 0.250 0.250 0.250
Ni 0.750 0.750 0.750
P 0.500 0.500 0.500



# 8
CrSbMo: PBEsol geometry, meta-GGA SCAN.

Computed properties:
ρ (g/cm³): 9.720
Total moment (μB/cell): 0.00
E_tot (eV per atom): -29.82
Raw formation energy (meV/atom): 355
Symmetry: I4mm, No. 107
Volume (Å³/cell): 46.1

Cell: 4.989 4.989 4.989 Å, 142.32 142.32 54.35°
Positions (direct):
Cr 0.000 0.000 0.000
Sb 0.333 0.333 0.000
Mo 0.654 0.654 0.000



# 9
Li2RhPb: PBEsol geometry, meta-GGA SCAN.

Computed properties:
ρ (g/cm³): 8.390
Total moment (μB/cell): 0.00
Calculated formation energy (meV/atom): -306
E_tot (eV per atom): -28.89
Symmetry: I4/mmm, No. 139
Volume (Å³/cell): 64.1

Cell: 5.078 5.078 5.078 Å, 135.18 135.18 65.26°
Positions (direct):
Li 0.250 0.750 0.500
Li 0.750 0.250 0.500
Rh 0.000 0.000 0.000
Pb 0.500 0.500 0.000



# 10
TaAlOs2: PBEsol geometry, meta-GGA SCAN.

Computed properties:
ρ (g/cm³): 16.664
Total moment (μB/cell): 0.00
Calculated formation energy (meV/atom): -784
E_tot (eV per atom): -55.31
Symmetry: Fm-3m, No. 225
Volume (Å³/cell): 58.6

Cell: 4.361 4.361 4.361 Å, 60.00 60.00 60.00°
Positions (direct):
Ta 0.000 0.000 0.000
Al 0.500 0.500 0.500
Os 0.250 0.250 0.250
Os 0.750 0.750 0.750



# 11
Hg7Cl: PBEsol geometry, meta-GGA SCAN.

Computed properties:
ρ (g/cm³): 12.910
Total moment (μB/cell): 0.00
E_tot (eV per atom): -60.68
Raw formation energy (meV/atom): -38
Symmetry: Fm-3m, No. 225
Volume (Å³/cell): 185.2

Cell: 6.398 6.398 6.398 Å, 60.00 60.00 60.00°
Positions (direct):
Hg 0.000 0.000 0.000
Hg 0.000 0.000 0.500
Hg 0.000 0.500 0.000
Hg 0.000 0.500 0.500
Hg 0.500 0.000 0.000
Hg 0.500 0.000 0.500
Hg 0.500 0.500 0.000
Cl 0.500 0.500 0.500



# 12
LiCoSbO4: PBEsol geometry, meta-GGA SCAN.

Computed properties:
ρ (g/cm³): 5.459
Total moment (μB/cell): 12.00
E_tot (eV per atom): -13.34
Raw formation energy (meV/atom): -1647
Symmetry: P4_322, No. 95
Volume (Å³/cell): 306.2

Cell: 6.021 6.021 8.447 Å, 90.00 90.00 90.00°
Positions (direct):
Li 0.000 0.205 0.000
Li 0.000 0.795 0.500
Li 0.205 0.000 0.250
Li 0.795 0.000 0.750
Co 0.252 0.252 0.625
Co 0.252 0.748 0.875
Co 0.748 0.252 0.375
Co 0.748 0.748 0.125
Sb 0.224 0.500 0.250
Sb 0.500 0.224 0.000
Sb 0.500 0.776 0.500
Sb 0.776 0.500 0.750
O 0.008 0.259 0.248
O 0.008 0.741 0.252
O 0.259 0.008 0.002
O 0.259 0.992 0.498
O 0.265 0.478 0.011
O 0.265 0.522 0.489
O 0.478 0.265 0.239
O 0.478 0.735 0.261
O 0.522 0.265 0.761
O 0.522 0.735 0.739
O 0.735 0.478 0.989
O 0.735 0.522 0.511
O 0.741 0.008 0.998
O 0.741 0.992 0.502
O 0.992 0.259 0.752
O 0.992 0.741 0.748